First-principles (PBE-GGA) data for a geometry-optimized Sm3Zn3Ir2 structure, as listed in the Alexandria database.

abc: 4.154 5.598 15.925
angles: 90.00 90.00 111.78
Fractional coordinates of all 16 atoms:
Sm: 0.926 0.852 0.396
Sm: 0.074 0.148 0.896
Sm: 0.926 0.852 0.104
Sm: 0.074 0.148 0.604
Sm: 0.652 0.303 0.250
Sm: 0.348 0.697 0.750
Zn: 0.640 0.280 0.467
Zn: 0.360 0.720 0.967
Zn: 0.640 0.280 0.033
Zn: 0.360 0.720 0.533
Zn: 0.359 0.718 0.250
Zn: 0.641 0.282 0.750
Ir: 0.781 0.562 0.886
Ir: 0.219 0.438 0.386
Ir: 0.781 0.562 0.614
Ir: 0.219 0.438 0.114

Calculated values
Its total magnetization is 0.00 Bohr magnetons per cell. As for the space-group type: Cmcm, No. 63. The calculation puts the density of states at the Fermi level at 9.82 states/eV per cell. Its crystal system is orthorhombic. The volume is 344 Å³/cell. The total energy is -80.1 eV per cell.

***

First-principles (PBE-GGA) data for a geometry-optimized SmZn2Ir structure, as listed in the Alexandria database.

abc: 4.655 4.655 4.655
angles: 60.00 60.00 60.00
Fractional coordinates of all 4 atoms:
Zn: 0.250 0.250 0.250
Zn: 0.750 0.750 0.750
Ir: 0.500 0.500 0.500
Sm: 0.000 0.000 0.000

Calculated values
Its total magnetization is 0.00 Bohr magnetons per cell. As for the space-group type: Fm-3m, No. 225. The calculation puts the density of states at the Fermi level at 2.11 states/eV per cell. Its crystal system is cubic. The volume is 71 Å³/cell. The total energy is -17.4 eV per cell.